# 1
# SrPr5Zn4 (PBE, optimized geometry)
data_SrPr5Zn4
_chemical_formula_sum 'Sr1 Pr5 Zn4'
_space_group_name_H-M_alt 'P 1'
_space_group_IT_number 1
_space_group_name_Hall 'P 1'
_cell_length_a 3.763
_cell_length_b 3.763
_cell_length_c 20.567
_cell_angle_alpha 90.00
_cell_angle_beta 90.00
_cell_angle_gamma 90.00
loop_
_atom_site_label
_atom_site_type_symbol
_atom_site_fract_x
_atom_site_fract_y
_atom_site_fract_z
Sr1 Sr 0.000 0.000 0.000
Pr1 Pr 0.500 0.500 0.149
Pr2 Pr 0.500 0.500 0.322
Pr3 Pr 0.500 0.500 0.500
Pr4 Pr 0.500 0.500 0.678
Pr5 Pr 0.500 0.500 0.851
Zn1 Zn 0.000 0.000 0.233
Zn2 Zn 0.000 0.000 0.410
Zn3 Zn 0.000 0.000 0.590
Zn4 Zn 0.000 0.000 0.767
# - Symmetry: P4/mmm (123)
# - Total DFT energy (no corrections): -32.7 eV per cell

***

# 2
# Sr2PrZn6 (PBE, optimized geometry)
data_Sr2PrZn6
_chemical_formula_sum 'Sr2 Pr1 Zn6'
_space_group_name_H-M_alt 'P 1'
_space_group_IT_number 1
_space_group_name_Hall 'P 1'
_cell_length_a 3.986
_cell_length_b 7.958
_cell_length_c 7.955
_cell_angle_alpha 120.01
_cell_angle_beta 89.99
_cell_angle_gamma 90.00
loop_
_atom_site_label
_atom_site_type_symbol
_atom_site_fract_x
_atom_site_fract_y
_atom_site_fract_z
Sr1 Sr 0.000 0.333 0.667
Sr2 Sr 0.000 0.667 0.333
Pr1 Pr 0.000 0.000 0.000
Zn1 Zn 0.500 0.330 0.330
Zn2 Zn 0.500 0.670 0.670
Zn3 Zn 0.500 0.000 0.670
Zn4 Zn 0.500 0.670 0.000
Zn5 Zn 0.500 0.330 0.000
Zn6 Zn 0.500 0.000 0.330
# - Symmetry: P6/mmm (191)
# - Total DFT energy (no corrections): -18.1 eV per cell